{"formula": "VCuGe", "functional": "PBE", "state": "relaxed", "lattice_angstrom": [[-0.9017, 2.1907, -1.4444], [-2.2272, -2.5100, -2.4165], [-1.6703, 1.5790, 3.4375]], "species": ["Ge", "Cu", "V"], "fractional_positions": [[0.4991, 0.3333, 0.6667], [0.5008, 0.6667, 0.3333], [0.0000, 0.0000, 0.0000]], "total_magnetization_mub_per_cell": 1.26, "crystal_system": "hexagonal"}



{"formula": "VCu2Ge", "functional": "PBE", "state": "relaxed", "lattice_angstrom": [[3.9534, 0.0000, 0.0000], [0.0000, 3.6379, 0.0000], [0.0000, 0.0000, 3.6379]], "species": ["Ge", "Cu", "Cu", "V"], "fractional_positions": [[0.5000, 0.0000, 0.0000], [0.0000, 0.0000, 0.5000], [0.0000, 0.5000, 0.0000], [0.5000, 0.5000, 0.5000]], "total_magnetization_mub_per_cell": 0.00, "crystal_system": "tetragonal"}



The E_tot results, record by record, are as follows: -17.94, -22.18 eV for the cell shown.
The theoretical density results, record by record, are as follows: 7.6, 8.0 g/cm3.
The calculated volume results, record by record, are as follows: 41, 52 Å³/cell.